Y3Er4Zr (PBE-GGA, optimized geometry); SG = Cmmm; formation energy = 45 kJ per mole of atoms; energy above the lowest structure with this stoichiometry = 0.260 eV/atom
1.0
3.335 0.000 0.000
0.000 8.635 1.283
0.000 -2.280 8.427
Y Er Zr
3 4 1
Direct
0.000 0.000 0.500
0.500 0.500 0.500
0.000 0.500 0.000
0.000 0.773 0.773
0.500 0.236 0.764
0.000 0.227 0.227
0.500 0.764 0.236
0.500 0.000 0.000

As4PBr (PBE-GGA, optimized geometry); SG = F-43m; raw formation energy = 0.66 eV per atom
1.0
0.000 4.226 4.226
4.226 0.000 4.226
4.226 4.226 0.000
As P Br
4 1 1
Direct
0.814 0.395 0.395
0.395 0.395 0.814
0.395 0.814 0.395
0.395 0.395 0.395
0.000 0.000 0.000
0.750 0.750 0.750

Na2Tl12Hg5 (PBE-GGA, optimized geometry); SG = C2/m; formation energy = -2 kJ per mole of atoms; energy above the lowest structure with this stoichiometry = 0.000 eV/atom
1.0
-1.860 10.210 -0.790
-7.232 -7.044 -5.451
-0.784 0.323 6.018
Na Tl Hg
2 12 5
Direct
0.802 0.000 0.000
0.198 0.000 0.000
0.851 0.701 0.659
0.095 0.600 0.788
0.506 0.600 0.788
0.145 0.802 0.380
0.657 0.802 0.380
0.542 0.083 0.823
0.458 0.917 0.177
0.855 0.198 0.620
0.343 0.198 0.620
0.905 0.400 0.212
0.494 0.400 0.212
0.149 0.299 0.341
0.352 0.705 0.523
0.222 0.443 0.973
0.000 0.000 0.500
0.778 0.557 0.027
0.648 0.295 0.477

SmZn2Hg (PBE-GGA, optimized geometry); SG = P4/mmm; formation energy = -22 kJ per mole of atoms; energy above the lowest structure with this stoichiometry = 0.068 eV/atom
1.0
4.420 0.000 0.000
0.000 4.471 0.000
0.000 0.000 4.471
Zn Hg Sm
2 1 1
Direct
0.000 0.000 0.500
0.000 0.500 0.000
0.500 0.000 0.000
0.500 0.500 0.500

BaPtSe (PBE-GGA, optimized geometry); SG = Fmm2; raw formation energy = -0.70 eV per atom
1.0
8.014 -0.983 0.661
4.285 4.147 -0.014
3.730 -2.560 4.496
Ba Pt Se
1 1 1
Direct
0.001 0.001 0.999
0.285 0.285 0.715
0.714 0.714 0.286